Material: OsPbAu2
Method: DFT, PBE
State: relaxed

Lattice parameters (Å, degrees): 3.5034 3.5034 6.1755 90.00 90.00 90.00
Space group P4mm (No. 99)
Inequivalent atoms, fractional coordinates:
Os 0.0000 0.0000 0.0000 [1 per cell]
Pb 0.5000 0.5000 0.2305 [1 per cell]
Au 0.0000 0.0000 0.5278 [1 per cell]
Au 0.5000 0.5000 0.7499 [1 per cell]

## Properties
- spin magnetization (μB/cell) = 0.00
- formation energy from the elements (eV per formula unit) = 2.611
- volume (Å³ per atom) = 18.949